Model P:
SrNi3P3: relaxed, PBE.

Results
The space group is No. 148. Its density of states at the Fermi level is 6.3 states/eV/cell.

abc: 6.487 6.487 7.959
angles: 65.95 65.95 60.00
Element x y z (fractional)
Sr: 0.333 0.333 0.001
Sr: 0.667 0.667 0.999
Ni: 0.465 0.792 0.615
Ni: 0.792 0.128 0.615
Ni: 0.128 0.465 0.615
Ni: 0.872 0.535 0.385
Ni: 0.208 0.872 0.385
Ni: 0.535 0.208 0.385
P: 0.225 0.574 0.302
P: 0.899 0.225 0.302
P: 0.574 0.899 0.302
P: 0.426 0.101 0.698
P: 0.101 0.775 0.698
P: 0.775 0.426 0.698

Model Q:
SrNi3P3: relaxed, PBE.

Results
The space group is No. 223. Its density of states at the Fermi level is 7.7 states/eV/cell.

abc: 6.215 6.215 6.215
angles: 90.00 90.00 90.00
Element x y z (fractional)
Sr: 0.500 0.500 0.500
Sr: 0.000 0.000 0.000
P: 0.000 0.250 0.500
P: 0.000 0.750 0.500
P: 0.500 0.000 0.750
P: 0.750 0.500 0.000
P: 0.500 0.000 0.250
P: 0.250 0.500 0.000
Ni: 0.250 0.000 0.500
Ni: 0.000 0.500 0.250
Ni: 0.500 0.750 0.000
Ni: 0.750 0.000 0.500
Ni: 0.000 0.500 0.750
Ni: 0.500 0.250 0.000

Least stable structure: model P